(1)
## Ba2LiCoN (PBE)

Data for an optimized crystal structure of Ba2LiCoN.

```
Ba2LiCoN
1.0
5.8818 0.0000 0.0000
0.0000 5.8818 0.0000
0.0000 0.0000 3.5864
Ba Li Co N
2 1 1 1
Cartesian
0.0000 2.9409 0.0000 Ba
2.9409 0.0000 0.0000 Ba
0.0000 0.0000 1.7932 Li
2.9409 2.9409 1.7932 Co
2.9409 2.9409 0.0000 N
```

Results
Total magnetization ... 0.0 μB/f.u.
Crystal system ... tetragonal
Energy relative to the elements, uncorrected ... -0.18 eV/atom
Electronic total energy ... -4.4199 eV per atom

=====

(2)
## TmScZnGe (PBE)

Data for an optimized crystal structure of TmScZnGe.

```
TmScZnGe
1.0
6.8413 0.0000 0.0000
0.0000 6.8413 0.0000
0.0000 0.0000 6.8413
Tm Sc Zn Ge
4 4 4 4
Cartesian
0.0000 0.0000 0.0000 Tm
0.0000 3.4207 3.4207 Tm
3.4207 0.0000 3.4207 Tm
3.4207 3.4207 0.0000 Tm
0.0000 0.0000 3.4207 Sc
0.0000 3.4207 0.0000 Sc
3.4207 0.0000 0.0000 Sc
3.4207 3.4207 3.4207 Sc
1.7103 1.7103 1.7103 Zn
1.7103 5.1310 5.1310 Zn
5.1310 1.7103 5.1310 Zn
5.1310 5.1310 1.7103 Zn
1.7103 1.7103 5.1310 Ge
1.7103 5.1310 1.7103 Ge
5.1310 1.7103 1.7103 Ge
5.1310 5.1310 5.1310 Ge
```

Results
Total magnetization ... 0.0 μB/f.u.
Crystal system ... cubic
Electronic total energy ... -4.6857 eV per atom
ΔH_f (0 K) ... -0.512 eV per atom

=====

(3)
## LiTbPd4 (PBE)

Data for an optimized crystal structure of LiTbPd4.

```
LiTbPd4
1.0
0.0000 3.7761 3.7761
3.7761 0.0000 3.7761
3.7761 3.7761 0.0000
Li Tb Pd
1 1 4
Cartesian
0.0000 0.0000 0.0000 Li
1.8880 1.8880 1.8880 Tb
4.7221 2.8301 2.8301 Pd
2.8301 4.7221 2.8301 Pd
2.8301 2.8301 4.7221 Pd
4.7221 4.7221 4.7221 Pd
```

Results
Total magnetization ... 0.0 μB/f.u.
Crystal system ... cubic
Energy above the most stable polymorph in this dataset ... 24 meV/atom
Electronic total energy ... -5.1672 eV per atom
ΔH_f (0 K) ... -0.615 eV per atom